Compound: BaLa2CdOs
Source: the Alexandria database
Functional: PBE-GGA
Structure: optimized geometry

Values from the calculation:
energy relative to the elements: 0.295 kcal/mol of atoms
relative energy among the computed polymorphs: 0.049 eV/atom
volume: 192.1 Å³/f.u.

Cell: 5.529 5.529 6.284 Å, 90.00 90.00 90.00°
Sites, in units of the cell vectors:
1 La 0.000 0.500 0.000
2 La 0.500 0.000 0.000
3 Cd 0.500 0.500 0.500
4 Os 0.000 0.000 0.000
5 Ba 0.000 0.000 0.500